The following is a DFT calculation (PBEsol) of CrBr2 after structural relaxation.

Summary:
**Symmetry**: C2/m, No. 12
**Final energy**: -5.157 eV per atom
**Formation energy from raw total energies**: -496 meV per atom
**Magnetization**: 4.0 μB/f.u.

Cell: 13.488 3.565 9.434 Å, 90.00 131.49 90.00°
Fractional coordinates of all 12 atoms:
Cr 0.210 0.000 0.138
Cr 0.290 0.500 0.862
Cr 0.710 0.500 0.138
Cr 0.790 0.000 0.862
Br 0.086 0.500 0.888
Br 0.193 0.000 0.622
Br 0.307 0.500 0.378
Br 0.414 0.000 0.112
Br 0.586 0.000 0.888
Br 0.693 0.500 0.622
Br 0.807 0.000 0.378
Br 0.914 0.500 0.112